Arrangement a

The following is a DFT calculation (PBE-GGA) of a relaxed Ce2ErTc crystal.

**Theoretical density**: 8.98 g/cm³
**D(E_F)**: 9.70 states/eV per cell

a = 3.436 Å, b = 3.436 Å, c = 8.546 Å
α = 90.00°, β = 90.00°, γ = 90.00°
Last column: magnetic moment on the atom in μB.
Fractional positions:
Ce (0.000, 0.000, 0.203)  0.33
Ce (0.000, 0.000, 0.797)  0.33
Er (0.500, 0.500, 0.500)  0.19
Tc (0.500, 0.500, 0.000)  -0.02

Arrangement b

The following is a DFT calculation (PBE-GGA) of a relaxed Ce2ErTc crystal.

**Theoretical density**: 8.66 g/cm³
**D(E_F)**: 30.61 states/eV per cell

a = 6.097 Å, b = 7.138 Å, c = 9.609 Å
α = 90.00°, β = 90.00°, γ = 90.00°
Fractional positions:
Er (0.129, 0.948, 0.750)
Er (0.871, 0.052, 0.250)
Er (0.629, 0.552, 0.250)
Er (0.371, 0.448, 0.750)
Tc (0.894, 0.577, 0.750)
Tc (0.106, 0.423, 0.250)
Tc (0.606, 0.077, 0.750)
Tc (0.394, 0.923, 0.250)
Ce (0.145, 0.660, 0.437)
Ce (0.145, 0.660, 0.063)
Ce (0.355, 0.160, 0.063)
Ce (0.355, 0.160, 0.437)
Ce (0.855, 0.340, 0.937)
Ce (0.645, 0.840, 0.937)
Ce (0.855, 0.340, 0.563)
Ce (0.645, 0.840, 0.563)

Arrangement c

The following is a DFT calculation (PBE-GGA) of a relaxed Ce2ErTc crystal.

**Theoretical density**: 8.13 g/cm³
**D(E_F)**: 8.44 states/eV per cell

a = 3.850 Å, b = 3.850 Å, c = 8.955 Å
α = 77.59°, β = 77.59°, γ = 60.00°
Fractional positions:
Tc (0.665, 0.665, 0.005)
Ce (0.273, 0.273, 0.182)
Ce (0.061, 0.061, 0.817)
Er (0.501, 0.501, 0.497)

What is the most stable structure shown above? It is arrangement b.